1.
DFT (PBE-GGA) results for a geometry-optimized Er3Ag2Rh structure.

polymorph energy (0 for the lowest one): 0 meV/atom
ΔE_f: -0.53 eV/atom
theoretical density: 10.293 g cm⁻³

Cell lengths 3.523, 3.523, 10.661 Å; angles 90.00, 90.00, 90.00 degrees
Space group P4/mmm (No. 123)
Symmetry-distinct sites (fractional):
1 Er 0.000 0.000 0.000 (multiplicity 1)
2 Er 0.000 0.000 0.348 (multiplicity 2)
3 Ag 0.500 0.500 0.172 (multiplicity 2)
4 Rh 0.500 0.500 0.500 (multiplicity 1)

2.
DFT (PBE-GGA) results for a geometry-optimized Er5AgRh2 structure.

ΔE_f: -0.61 eV/atom
theoretical density: 9.887 g cm⁻³

Cell lengths 7.634, 7.634, 13.258 Å; angles 90.00, 90.00, 90.00 degrees
Space group I4/mcm (No. 140)
Symmetry-distinct sites (fractional):
1 Er 0.000 0.000 0.000 (multiplicity 4)
2 Er 0.160 0.340 0.137 (multiplicity 16)
3 Ag 0.000 0.000 0.250 (multiplicity 4)
4 Rh 0.141 0.359 0.500 (multiplicity 8)

3.
DFT (PBE-GGA) results for a geometry-optimized Er4AgRh structure.

polymorph energy (0 for the lowest one): 201 meV/atom
ΔE_f: -0.29 eV/atom
theoretical density: 8.919 g cm⁻³

Cell lengths 6.878, 6.878, 6.925 Å; angles 90.00, 90.08, 90.00 degrees
Space group C2/m (No. 12)
Symmetry-distinct sites (fractional):
1 Er 0.250 0.250 0.236 (multiplicity 8)
2 Ag 0.000 0.000 0.500 (multiplicity 2)
3 Rh 0.000 0.500 0.000 (multiplicity 2)

4.
DFT (PBE-GGA) results for a geometry-optimized Er6Ag5Rh structure.

ΔE_f: -0.43 eV/atom
theoretical density: 10.036 g cm⁻³

Cell lengths 5.029, 15.123, 7.162 Å; angles 90.00, 90.00, 90.00 degrees
Space group Cmmm (No. 65)
Symmetry-distinct sites (fractional):
1 Er 0.000 0.000 0.237 (multiplicity 4)
2 Er 0.000 0.340 0.244 (multiplicity 8)
3 Ag 0.000 0.167 0.500 (multiplicity 4)
4 Ag 0.000 0.173 0.000 (multiplicity 4)
5 Ag 0.000 0.500 0.500 (multiplicity 2)
6 Rh 0.000 0.500 0.000 (multiplicity 2)

5.
DFT (PBE-GGA) results for a geometry-optimized ErAgRh2 structure.

ΔE_f: -0.45 eV/atom
theoretical density: 11.576 g cm⁻³

Cell lengths 4.174, 4.174, 3.960 Å; angles 90.00, 90.00, 90.00 degrees
Space group P4/mmm (No. 123)
Symmetry-distinct sites (fractional):
1 Er 0.000 0.000 0.000 (multiplicity 1)
2 Ag 0.500 0.500 0.000 (multiplicity 1)
3 Rh 0.000 0.500 0.500 (multiplicity 2)

6.
DFT (PBE-GGA) results for a geometry-optimized Er5AgRh4 structure.

ΔE_f: -0.82 eV/atom
theoretical density: 11.059 g cm⁻³

Cell lengths 3.405, 3.405, 17.557 Å; angles 90.00, 90.00, 90.00 degrees
Space group P4/mmm (No. 123)
Symmetry-distinct sites (fractional):
1 Er 0.000 0.000 0.000 (multiplicity 1)
2 Er 0.000 0.000 0.193 (multiplicity 2)
3 Er 0.000 0.000 0.385 (multiplicity 2)
4 Ag 0.500 0.500 0.500 (multiplicity 1)
5 Rh 0.500 0.500 0.097 (multiplicity 2)
6 Rh 0.500 0.500 0.292 (multiplicity 2)

7.
DFT (PBE-GGA) results for a geometry-optimized Er6AgRh2 structure.

ΔE_f: -0.53 eV/atom
theoretical density: 9.802 g cm⁻³

Cell lengths 9.244, 9.421, 10.250 Å; angles 90.00, 90.00, 90.00 degrees
Space group Immm (No. 71)
Symmetry-distinct sites (fractional):
1 Er 0.000 0.196 0.239 (multiplicity 8)
2 Er 0.194 0.500 0.171 (multiplicity 8)
3 Er 0.217 0.320 0.500 (multiplicity 8)
4 Ag 0.000 0.000 0.000 (multiplicity 2)
5 Ag 0.000 0.000 0.500 (multiplicity 2)
6 Rh 0.000 0.333 0.000 (multiplicity 4)
7 Rh 0.000 0.500 0.368 (multiplicity 4)

8.
DFT (PBE-GGA) results for a geometry-optimized Er7Ag2Rh2 structure.

polymorph energy (0 for the lowest one): 119 meV/atom
ΔE_f: -0.35 eV/atom
theoretical density: 8.962 g cm⁻³

Cell lengths 7.842, 10.715, 7.022 Å; angles 90.00, 90.00, 90.00 degrees
Space group Cmmm (No. 65)
Symmetry-distinct sites (fractional):
1 Er 0.000 0.000 0.000 (multiplicity 2)
2 Er 0.000 0.500 0.249 (multiplicity 4)
3 Er 0.250 0.250 0.256 (multiplicity 8)
4 Ag 0.182 0.000 0.500 (multiplicity 4)
5 Rh 0.000 0.288 0.000 (multiplicity 4)

9.
DFT (PBE-GGA) results for a geometry-optimized Er8AgRh2 structure.

ΔE_f: -0.34 eV/atom
theoretical density: 9.417 g cm⁻³

Cell lengths 8.461, 12.934, 5.518 Å; angles 90.00, 105.25, 90.00 degrees
Space group Cm (No. 8)
Symmetry-distinct sites (fractional):
1 Er 0.000 0.000 0.000 (multiplicity 2)
2 Er 0.083 0.372 0.778 (multiplicity 4)
3 Er 0.177 0.128 0.603 (multiplicity 4)
4 Er 0.260 0.500 0.381 (multiplicity 2)
5 Er 0.380 0.239 0.191 (multiplicity 4)
6 Ag 0.380 0.000 0.189 (multiplicity 2)
7 Rh 0.380 0.305 0.691 (multiplicity 4)

10.
DFT (PBE-GGA) results for a geometry-optimized Er3Ag2Rh structure.

polymorph energy (0 for the lowest one): 8 meV/atom
ΔE_f: -0.52 eV/atom
theoretical density: 10.329 g cm⁻³

Cell lengths 4.9765, 4.9765, 6.1496 Å; angles 90.00, 90.00, 120.00 degrees
Space group P-3m1 (No. 164)
Symmetry-distinct sites (fractional):
1 Er 0.0000 0.0000 0.0000 (multiplicity 1)
2 Er 0.3333 0.6667 0.6494 (multiplicity 2)
3 Ag 0.3333 0.6667 0.1545 (multiplicity 2)
4 Rh 0.0000 0.0000 0.5000 (multiplicity 1)

11.
DFT (PBE-GGA) results for a geometry-optimized Er4AgRu2Rh structure.

ΔE_f: -0.55 eV/atom
theoretical density: 11.153 g cm⁻³

Cell lengths 4.8508, 4.8508, 23.7157 Å; angles 90.00, 90.00, 120.00 degrees
Space group R-3m (No. 166, hexagonal axes)
Symmetry-distinct sites (fractional):
1 Er 0.0000 0.0000 0.1217 (multiplicity 6)
2 Er 0.0000 0.0000 0.3722 (multiplicity 6)
3 Ag 0.0000 0.0000 0.5000 (multiplicity 3)
4 Ru 0.0000 0.0000 0.2496 (multiplicity 6)
5 Rh 0.0000 0.0000 0.0000 (multiplicity 3)

12.
DFT (PBE-GGA) results for a geometry-optimized ErAgSbRh structure.

energy relative to the elements, uncorrected: -0.51 eV/atom
theoretical density: 10.512 g cm⁻³

Cell lengths 6.810, 6.810, 6.810 Å; angles 90.00, 90.00, 90.00 degrees
Space group F-43m (No. 216)
Symmetry-distinct sites (fractional):
1 Er 0.000 0.000 0.000 (multiplicity 4)
2 Ag 0.250 0.250 0.250 (multiplicity 4)
3 Sb 0.000 0.000 0.500 (multiplicity 4)
4 Rh 0.250 0.250 0.750 (multiplicity 4)

Please write out number 3 again, unchanged.
DFT (PBE-GGA) results for a geometry-optimized Er4AgRh structure.

polymorph energy (0 for the lowest one): 201 meV/atom
ΔE_f: -0.29 eV/atom
theoretical density: 8.919 g cm⁻³

Cell lengths 6.878, 6.878, 6.925 Å; angles 90.00, 90.08, 90.00 degrees
Space group C2/m (No. 12)
Symmetry-distinct sites (fractional):
1 Er 0.250 0.250 0.236 (multiplicity 8)
2 Ag 0.000 0.000 0.500 (multiplicity 2)
3 Rh 0.000 0.500 0.000 (multiplicity 2)

Repeat the fifth record exactly.
DFT (PBE-GGA) results for a geometry-optimized ErAgRh2 structure.

ΔE_f: -0.45 eV/atom
theoretical density: 11.576 g cm⁻³

Cell lengths 4.174, 4.174, 3.960 Å; angles 90.00, 90.00, 90.00 degrees
Space group P4/mmm (No. 123)
Symmetry-distinct sites (fractional):
1 Er 0.000 0.000 0.000 (multiplicity 1)
2 Ag 0.500 0.500 0.000 (multiplicity 1)
3 Rh 0.000 0.500 0.500 (multiplicity 2)

Which value of theoretical density does entry 9 give? 9.417 g cm⁻³

Which of these has the lowest theoretical density? Er4AgRh